The following is a PBE-GGA calculation of a relaxed structure of Ta2TeIr, from Alexandria.

Properties
Its uncorrected energy is -8.741 eV per atom. Its volume is 18.02 Å³/atom. As for the crystal system: tetragonal. For the uncorrected formation energy, the calculation gives 186 meV/atom.

Cell and atoms, written as CIF:
```
data_Ta2TeIr
_chemical_formula_sum 'Ta2 Te1 Ir1'
_cell_length_a 5.259
_cell_length_b 5.259
_cell_length_c 5.259
_cell_angle_alpha 134.83
_cell_angle_beta 134.83
_cell_angle_gamma 65.79
_space_group_name_H-M_alt 'P 1'
_space_group_IT_number 1
loop_
_space_group_symop_operation_xyz
'x,y,z'
loop_
_atom_site_label
_atom_site_type_symbol
_atom_site_fract_x
_atom_site_fract_y
_atom_site_fract_z
_atom_site_occupancy
Ta1 Ta 0.000 0.000 0.000 1
Ta2 Ta 0.750 0.250 0.500 1
Te1 Te 0.250 0.750 0.500 1
Ir1 Ir 0.500 0.500 0.000 1
```